Material: CsTl6Br8
Method: DFT, PBE-GGA
State: optimized geometry

abc: 8.8005 8.8005 8.8005
angles: 102.34 102.34 102.34
Positions (direct):
Cs1 0.0000 0.0000 0.0000
Tl1 0.0995 0.3084 0.5568
Tl2 0.3084 0.5568 0.0995
Tl3 0.4432 0.9005 0.6916
Tl4 0.5568 0.0995 0.3084
Tl5 0.6916 0.4432 0.9005
Tl6 0.9005 0.6916 0.4432
Br1 0.1546 0.6657 0.7752
Br2 0.2248 0.8454 0.3343
Br3 0.3256 0.3256 0.3256
Br4 0.3343 0.2248 0.8454
Br5 0.6657 0.7752 0.1546
Br6 0.6744 0.6744 0.6744
Br7 0.7752 0.1546 0.6657
Br8 0.8454 0.3343 0.2248

=====

Material: Ge2PbBr6
Method: DFT, PBE-GGA
State: optimized geometry

abc: 9.4559 9.4559 8.6269
angles: 103.95 103.95 25.57
Positions (direct):
Ge1 0.1701 0.1701 0.3411
Ge2 0.8299 0.8299 0.6589
Pb1 0.5000 0.5000 0.0000
Br1 0.0090 0.0090 0.2608
Br2 0.3273 0.3273 0.4300
Br3 0.3279 0.3279 0.8838
Br4 0.6721 0.6721 0.1162
Br5 0.6727 0.6727 0.5700
Br6 0.9910 0.9910 0.7392

=====

Energy readings, ordered: -0.1020, -0.1184 hartree per atom
Energy relative to the lowest polymorph listed for this composition readings, ordered: 0.14, 0.00 eV/f.u.
E_form (uncorrected) readings, ordered: -0.88, -0.67 eV per atom